1.
A plane-wave DFT calculation with PBE was carried out for a relaxed NaSr3Pd8 crystal.

The space group is R3m (No. 160, hexagonal axes) and the conventional cell measures 5.5551, 5.5551 and 27.2389 Å, with angles of 90.00, 90.00 and 120.00 degrees. The asymmetric unit holds Na at (0.0000, 0.0000, 0.0000), Sr at (0.0000, 0.0000, 0.3684), Sr at (0.0000, 0.0000, 0.4965), Sr at (0.0000, 0.0000, 0.8783), Pd at (0.0000, 0.0000, 0.1853), Pd at (0.0000, 0.0000, 0.6851), Pd at (0.0004, 0.5002, 0.4351) and Pd at (0.1673, 0.3346, 0.2686).


2.
A plane-wave DFT calculation with PBE was carried out for a relaxed Na3Sr7Pd2 crystal.

The space group is Cmmm (No. 65) and the conventional cell measures 6.0280, 29.8115 and 6.0027 Å, with angles of 90.00, 90.00 and 90.00 degrees. The asymmetric unit holds Na at (0.0000, 0.0000, 0.0000), Na at (0.0000, 0.2031, 0.0000), Sr at (0.0000, 0.1039, 0.5000), Sr at (0.0000, 0.2979, 0.5000), Sr at (0.0000, 0.3986, 0.0000), Sr at (0.0000, 0.5000, 0.5000) and Pd at (0.0000, 0.3981, 0.5000).


3.
A plane-wave DFT calculation with PBE was carried out for a relaxed Na2Sr6TlPd crystal.

The space group is Cm (No. 8) and the conventional cell measures 12.5120, 12.5234 and 8.8162 Å, with angles of 90.00, 134.78 and 90.00 degrees. The asymmetric unit holds Na at (0.0000, 0.2496, 0.0000), Sr at (0.0005, 0.2409, 0.5002), Sr at (0.2403, 0.0000, 0.4979), Sr at (0.2400, 0.0000, 0.9817), Sr at (0.2606, 0.5000, 0.0183), Sr at (0.2607, 0.5000, 0.5022), Tl at (0.0005, 0.5000, 0.5000) and Pd at (0.0005, 0.0000, 0.5000).


Number 1: theoretical density 7.8 Mg/m³, formation energy from the elements -554 meV per atom. Number 2: theoretical density 2.8 Mg/m³, formation energy from the elements -230 meV per atom. Number 3: theoretical density 3.0 Mg/m³, formation energy from the elements -157 meV per atom.